# CrReI2N (PBE, relaxed)
data_CrReI2N
_chemical_formula_sum 'Cr1 Re1 I2 N1'
_cell_length_a 5.603
_cell_length_b 5.603
_cell_length_c 3.575
_cell_angle_alpha 90.00
_cell_angle_beta 90.00
_cell_angle_gamma 90.00
_symmetry_space_group_name_H-M 'P 4/m m m'
_symmetry_Int_Tables_number 123
_symmetry_space_group_name_Hall '-P 4 2'
loop_
_atom_site_label
_atom_site_type_symbol
_atom_site_fract_x
_atom_site_fract_y
_atom_site_fract_z
Cr1 Cr 0.000 0.000 0.000
Re1 Re 0.500 0.500 0.500
I1 I 0.000 0.500 0.000
N1 N 0.000 0.000 0.500
# Uncorrected energy: -5.51 eV/atom
# Density of states at the Fermi level: 3.682 states/eV/cell
# Crystal system: tetragonal
# E above lowest polymorph: 501.1 meV/atom


# Cr2RhIN (PBE, relaxed)
data_Cr2RhIN
_chemical_formula_sum 'Cr2 Rh1 I1 N1'
_cell_length_a 4.934
_cell_length_b 4.934
_cell_length_c 5.215
_cell_angle_alpha 90.00
_cell_angle_beta 90.00
_cell_angle_gamma 90.00
_symmetry_space_group_name_H-M 'P 4/m m m'
_symmetry_Int_Tables_number 123
_symmetry_space_group_name_Hall '-P 4 2'
loop_
_atom_site_label
_atom_site_type_symbol
_atom_site_fract_x
_atom_site_fract_y
_atom_site_fract_z
Cr1 Cr 0.000 0.500 0.000
Rh1 Rh 0.000 0.000 0.000
I1 I 0.000 0.000 0.500
N1 N 0.500 0.500 0.500
# Uncorrected energy: -5.44 eV/atom
# Density of states at the Fermi level: 4.691 states/eV/cell
# Crystal system: tetragonal


# CrRhI2N (PBE, relaxed)
data_CrRhI2N
_chemical_formula_sum 'Cr1 Rh1 I2 N1'
_cell_length_a 5.409
_cell_length_b 5.409
_cell_length_c 3.548
_cell_angle_alpha 90.00
_cell_angle_beta 90.00
_cell_angle_gamma 90.00
_symmetry_space_group_name_H-M 'P 4/m m m'
_symmetry_Int_Tables_number 123
_symmetry_space_group_name_Hall '-P 4 2'
loop_
_atom_site_label
_atom_site_type_symbol
_atom_site_fract_x
_atom_site_fract_y
_atom_site_fract_z
Cr1 Cr 0.000 0.000 0.000
Rh1 Rh 0.500 0.500 0.500
I1 I 0.000 0.500 0.000
N1 N 0.000 0.000 0.500
# Uncorrected energy: -5.11 eV/atom
# Density of states at the Fermi level: 4.970 states/eV/cell
# Crystal system: tetragonal
# E above lowest polymorph: 0.0 meV/atom


# CrRhIN2 (PBE, relaxed)
data_CrRhIN2
_chemical_formula_sum 'Cr1 Rh1 I1 N2'
_cell_length_a 3.724
_cell_length_b 3.724
_cell_length_c 5.870
_cell_angle_alpha 90.00
_cell_angle_beta 90.00
_cell_angle_gamma 90.00
_symmetry_space_group_name_H-M 'P 4/m m m'
_symmetry_Int_Tables_number 123
_symmetry_space_group_name_Hall '-P 4 2'
loop_
_atom_site_label
_atom_site_type_symbol
_atom_site_fract_x
_atom_site_fract_y
_atom_site_fract_z
Cr1 Cr 0.000 0.000 0.000
Rh1 Rh 0.500 0.500 0.500
I1 I 0.000 0.000 0.500
N1 N 0.000 0.500 0.000
# Uncorrected energy: -6.19 eV/atom
# Density of states at the Fermi level: 2.923 states/eV/cell
# Crystal system: tetragonal
# E above lowest polymorph: 0.0 meV/atom


# CrRhI2N (PBE, relaxed)
data_CrRhI2N
_chemical_formula_sum 'Cr1 Rh1 I2 N1'
_cell_length_a 5.665
_cell_length_b 5.665
_cell_length_c 3.708
_cell_angle_alpha 90.00
_cell_angle_beta 90.00
_cell_angle_gamma 90.00
_symmetry_space_group_name_H-M 'P 4/m m m'
_symmetry_Int_Tables_number 123
_symmetry_space_group_name_Hall '-P 4 2'
loop_
_atom_site_label
_atom_site_type_symbol
_atom_site_fract_x
_atom_site_fract_y
_atom_site_fract_z
Cr1 Cr 0.000 0.000 0.000
Rh1 Rh 0.500 0.500 0.500
I1 I 0.000 0.500 0.500
N1 N 0.500 0.500 0.000
# Uncorrected energy: -5.09 eV/atom
# Density of states at the Fermi level: 4.438 states/eV/cell
# Crystal system: tetragonal
# E above lowest polymorph: 13.7 meV/atom


# CrRhIN2 (PBE, relaxed)
data_CrRhIN2
_chemical_formula_sum 'Cr1 Rh1 I1 N2'
_cell_length_a 3.825
_cell_length_b 3.825
_cell_length_c 7.644
_cell_angle_alpha 90.00
_cell_angle_beta 90.00
_cell_angle_gamma 90.00
_symmetry_space_group_name_H-M 'P 4/m m m'
_symmetry_Int_Tables_number 123
_symmetry_space_group_name_Hall '-P 4 2'
loop_
_atom_site_label
_atom_site_type_symbol
_atom_site_fract_x
_atom_site_fract_y
_atom_site_fract_z
Cr1 Cr 0.000 0.000 0.000
Rh1 Rh 0.500 0.500 0.500
I1 I 0.500 0.500 0.000
N1 N 0.000 0.500 0.500
# Uncorrected energy: -5.88 eV/atom
# Density of states at the Fermi level: 2.160 states/eV/cell
# Crystal system: tetragonal
# E above lowest polymorph: 309.1 meV/atom


# CrSbI2N (PBE, relaxed)
data_CrSbI2N
_chemical_formula_sum 'Cr1 Sb1 I2 N1'
_cell_length_a 6.190
_cell_length_b 6.190
_cell_length_c 3.981
_cell_angle_alpha 90.00
_cell_angle_beta 90.00
_cell_angle_gamma 90.00
_symmetry_space_group_name_H-M 'P 4/m m m'
_symmetry_Int_Tables_number 123
_symmetry_space_group_name_Hall '-P 4 2'
loop_
_atom_site_label
_atom_site_type_symbol
_atom_site_fract_x
_atom_site_fract_y
_atom_site_fract_z
Cr1 Cr 0.000 0.000 0.000
Sb1 Sb 0.500 0.500 0.500
I1 I 0.000 0.500 0.500
N1 N 0.500 0.500 0.000
# Uncorrected energy: -4.17 eV/atom
# Density of states at the Fermi level: 3.707 states/eV/cell
# Crystal system: tetragonal
# E above lowest polymorph: 559.6 meV/atom


# CrSbIN2 (PBE, relaxed)
data_CrSbIN2
_chemical_formula_sum 'Cr1 Sb1 I1 N2'
_cell_length_a 4.061
_cell_length_b 4.061
_cell_length_c 7.147
_cell_angle_alpha 90.00
_cell_angle_beta 90.00
_cell_angle_gamma 90.00
_symmetry_space_group_name_H-M 'P 4/m m m'
_symmetry_Int_Tables_number 123
_symmetry_space_group_name_Hall '-P 4 2'
loop_
_atom_site_label
_atom_site_type_symbol
_atom_site_fract_x
_atom_site_fract_y
_atom_site_fract_z
Cr1 Cr 0.000 0.000 0.000
Sb1 Sb 0.500 0.500 0.500
I1 I 0.500 0.500 0.000
N1 N 0.000 0.500 0.500
# Uncorrected energy: -5.08 eV/atom
# Density of states at the Fermi level: 1.407 states/eV/cell
# Crystal system: tetragonal
# E above lowest polymorph: 222.2 meV/atom


The ΔE_f (raw) results, record by record, are as follows: 1.191; 1.855; 0.575; 0.842; 0.588; 1.152; 0.860; 1.308 eV/atom.